(1)
4
Lattice="4.6450 0.0000 0.0000 0.0000 4.8347 0.0000 0.0000 0.0000 4.8347" Properties=species:S:1:pos:R:3 comment="CeDy2Te, optimized geometry, DFT PBE-GGA" de_polymorph_ev_per_atom=0.073 sg=P4/mmm raw_formation_energy_ev_per_atom=-0.4460 pbc="T T T"
Te 2.3225 2.4173 2.4173
Ce 2.3225 0.0000 0.0000
Dy 0.0000 0.0000 2.4173
Dy 0.0000 2.4173 0.0000

(2)
6
Lattice="0.0000 3.6404 3.6404 3.6404 0.0000 3.6404 3.6404 3.6404 0.0000" Properties=species:S:1:pos:R:3 comment="BeInTc4, optimized geometry, DFT PBE-GGA" formation_enthalpy_0k_ev_per_atom=0.52 sg=F-43m pbc="T T T"
Be 5.4606 5.4606 5.4606
In 0.0000 0.0000 0.0000
Tc 2.7340 4.5467 4.5467
Tc 4.5467 4.5467 2.7340
Tc 4.5467 2.7340 4.5467
Tc 2.7340 2.7340 2.7340

(3)
12
Lattice="7.1989 0.0000 0.0000 0.0000 7.1989 0.0000 -3.5995 -3.5995 8.1917" Properties=species:S:1:pos:R:3 comment="CsTlIn2Cl8, optimized geometry, DFT PBE-GGA" sg=I-4 raw_formation_energy_ev_per_atom=-1.2722 pbc="T T T"
Cs 3.5995 0.0000 4.0959
Tl 0.0000 0.0000 0.0000
In 3.5995 3.5995 0.0000
In 0.0000 3.5995 4.0959
Cl 4.7335 5.2903 1.2779
Cl 2.4654 1.9086 1.2779
Cl 1.7332 2.6343 5.4532
Cl -1.7332 4.5646 5.4532
Cl -0.9651 1.8663 2.7385
Cl 0.9651 5.3327 2.7385
Cl -1.6909 1.1340 6.9138
Cl 1.6909 -1.1340 6.9138

Per-record Fermi-level density of states, states/eV per atom: 1.8322, 0.7824, 0.0000